DFT (PBE-GGA) results for InSb4 after structural relaxation.

Cell: 5.5625 5.5625 5.5625 Å, 90.00 90.00 90.00°
Element x y z (fractional)
Sb 0.5000 0.5000 0.0000
Sb 0.0000 0.5000 0.5000
In 0.5000 0.5000 0.5000
Sb 0.0000 0.0000 0.0000
Sb 0.5000 0.0000 0.5000

- Electronic total energy: -15.15 eV for the cell shown
- Formation energy without anion corrections: 4.1 eV per formula unit
- DOS at the Fermi energy: 1.0944 states/eV per atom
- Calculated density: 5.807 g/cm³